{
  "formula": "Dy3YTm2P6",
  "functional": "PBE",
  "state": "relaxed",
  "cell": [[-0.574, 5.660, 3.919], [-3.362, -5.773, 1.758], [6.444, -1.879, 1.631]],
  "species": ["P", "P", "P", "P", "P", "P", "Dy", "Dy", "Dy", "Tm", "Tm", "Y"],
  "fractional_positions": [[0.582, 0.917, 0.752], [0.083, 0.418, 0.248], [0.917, 0.582, 0.752], [0.418, 0.083, 0.248], [0.253, 0.253, 0.752], [0.747, 0.747, 0.248], [0.166, 0.834, 0.500], [0.834, 0.166, 0.500], [0.500, 0.500, 0.500], [0.667, 0.333, 0.000], [0.333, 0.667, 0.000], [0.000, 0.000, 0.000]],
  "formation_energy_ev_per_atom": -1.61,
  "m_tot_mub_per_cell": 0.00
}



{
  "formula": "Cs3Hg4Au3",
  "functional": "PBE",
  "state": "relaxed",
  "cell": [[-6.158, -1.634, -7.687], [2.584, -8.725, 4.107], [-4.614, 5.650, 6.817]],
  "species": ["Au", "Au", "Au", "Au", "Au", "Au", "Hg", "Hg", "Hg", "Hg", "Hg", "Hg", "Hg", "Hg", "Cs", "Cs", "Cs", "Cs", "Cs", "Cs"],
  "fractional_positions": [[0.875, 0.625, 0.750], [0.125, 0.750, 0.375], [0.625, 0.875, 0.250], [0.250, 0.375, 0.625], [0.375, 0.250, 0.125], [0.750, 0.125, 0.875], [0.349, 0.500, 0.000], [0.849, 0.500, 0.000], [0.151, 0.651, 0.651], [0.500, 0.349, 0.500], [0.000, 0.000, 0.849], [0.651, 0.151, 0.151], [0.000, 0.000, 0.349], [0.500, 0.849, 0.500], [0.875, 0.250, 0.625], [0.375, 0.125, 0.750], [0.250, 0.875, 0.125], [0.625, 0.750, 0.875], [0.750, 0.625, 0.375], [0.125, 0.375, 0.250]],
  "formation_energy_ev_per_atom": -0.24,
  "m_tot_mub_per_cell": 0.00
}